## AlCoSe2 (PBE)

Data for a relaxed structure of AlCoSe2.

For the mass density, the calculation gives 4.70 g cm⁻³. As for the density of states at the Fermi level: 4.83 states/eV/cell. The calculation puts the energy relative to the elements, uncorrected at 0.13 eV per atom. The uncorrected energy comes out at -17.29 eV per cell.

The structure belongs to space group Pmmm (No. 47); the cell edges are 3.507, 3.517 and 6.982 Å and the angles 90.00°, 90.00° and 90.00°. The inequivalent atoms are Al at (0.000, 0.000, 0.000), Co at (0.500, 0.000, 0.500), Se at (0.000, 0.500, 0.500) and Se at (0.500, 0.500, 0.000).

***

## TbPm3Pr3Se8 (PBE)

Data for a relaxed structure of TbPm3Pr3Se8.

For the mass density, the calculation gives 6.48 g cm⁻³. As for the density of states at the Fermi level: 21.17 states/eV/cell. The calculation puts the energy relative to the elements, uncorrected at -1.88 eV per atom. The uncorrected energy comes out at -267.76 eV per cell.

The structure belongs to space group R-3m (No. 166, hexagonal axes); the cell edges are 8.4088, 8.4088 and 20.7082 Å and the angles 90.00°, 90.00° and 120.00°. The inequivalent atoms are Tb at (0.0000, 0.0000, 0.0000), Pm at (0.0000, 0.5000, 0.0000), Pr at (0.0000, 0.5000, 0.5000), Se at (0.0000, 0.0000, 0.2519) and Se at (0.0019, 0.5010, 0.7477).